Record 1
## SmTlInAu (PBE)

Data for a geometry-optimized SmTlInAu structure.

Cell lengths 5.181, 5.181, 5.181 Å; angles 60.00, 60.00, 60.00 degrees
Fractional coordinates of all 4 atoms:
Sm1 0.750 0.750 0.750
Au1 0.000 0.000 0.000
In1 0.250 0.250 0.250
Tl1 0.500 0.500 0.500

Summary:
VASP energy, eV per atom: -3.70

Record 2
## SmTmInAu (PBE)

Data for a geometry-optimized SmTmInAu structure.

Cell lengths 3.617, 3.617, 7.740 Å; angles 90.00, 90.00, 90.00 degrees
Fractional coordinates of all 4 atoms:
Tm1 0.000 0.000 0.382
Au1 0.500 0.500 0.583
In1 0.500 0.500 0.120
Sm1 0.000 0.000 0.844

Summary:
Energy above the most stable polymorph in this dataset, kJ/mol of atoms: 0.0

Record 3
## SmTmInAu (PBE)

Data for a geometry-optimized SmTmInAu structure.

Cell lengths 5.246, 5.246, 5.246 Å; angles 60.00, 60.00, 60.00 degrees
Fractional coordinates of all 4 atoms:
Au1 0.000 0.000 0.000
Sm1 0.250 0.250 0.250
Tm1 0.750 0.750 0.750
In1 0.500 0.500 0.500

Summary:
Energy above the most stable polymorph in this dataset, kJ/mol of atoms: 7.0

Record 4
## SmTm2InAu4 (PBE)

Data for a geometry-optimized SmTm2InAu4 structure.

Cell lengths 5.002, 5.002, 8.812 Å; angles 73.51, 73.51, 60.00 degrees
Fractional coordinates of all 8 atoms:
Au1 0.370 0.370 0.890
In1 0.500 0.500 0.500
Tm1 0.758 0.758 0.727
Au2 0.121 0.121 0.638
Au3 0.879 0.879 0.362
Sm1 0.000 0.000 0.000
Tm2 0.242 0.242 0.273
Au4 0.630 0.630 0.110

Summary:
VASP energy, eV per atom: -4.45

Record 5
## SmZnInAu (PBE)

Data for a geometry-optimized SmZnInAu structure.

Cell lengths 4.967, 4.967, 4.967 Å; angles 60.00, 60.00, 60.00 degrees
Fractional coordinates of all 4 atoms:
In1 0.250 0.250 0.250
Sm1 0.750 0.750 0.750
Au1 0.500 0.500 0.500
Zn1 0.000 0.000 0.000

Summary:
VASP energy, eV per atom: -3.53

Record 6
## Sm2Zn3InAu4 (PBE)

Data for a geometry-optimized Sm2Zn3InAu4 structure.

Cell lengths 4.236, 4.236, 11.756 Å; angles 90.00, 90.00, 90.00 degrees
Fractional coordinates of all 10 atoms:
Sm1 0.000 0.500 0.762
In1 0.500 0.500 0.500
Zn1 0.500 0.000 0.868
Zn2 0.000 0.000 0.500
Au1 0.500 0.500 0.000
Au2 0.500 0.000 0.654
Zn3 0.000 0.500 0.132
Sm2 0.500 0.000 0.238
Au3 0.000 0.000 0.000
Au4 0.000 0.500 0.346

Summary:
VASP energy, eV per atom: -3.42

Record 7
## Sm2Zn4InAu3 (PBE)

Data for a geometry-optimized Sm2Zn4InAu3 structure.

Cell lengths 4.211, 4.211, 11.681 Å; angles 90.00, 90.00, 90.00 degrees
Fractional coordinates of all 10 atoms:
Sm1 0.000 0.500 0.755
Au1 0.000 0.500 0.139
Zn1 0.000 0.500 0.355
Zn2 0.500 0.500 0.000
Zn3 0.500 0.000 0.645
In1 0.500 0.500 0.500
Sm2 0.500 0.000 0.245
Au2 0.000 0.000 0.500
Zn4 0.000 0.000 0.000
Au3 0.500 0.000 0.861

Summary:
VASP energy, eV per atom: -3.20

Record 8
## In5Sn12Au3 (PBE)

Data for a geometry-optimized In5Sn12Au3 structure.

Cell lengths 14.760, 14.760, 14.760 Å; angles 109.47, 109.47, 109.47 degrees
Fractional coordinates of all 80 atoms:
Au1 0.875 0.125 0.250
Sn1 0.439 0.368 0.607
Sn2 0.929 0.368 0.261
Au2 0.375 0.750 0.625
Au3 0.250 0.625 0.875
Sn3 0.561 0.929 0.668
In1 0.500 0.500 0.500
In2 0.125 0.750 0.375
Au4 0.875 0.750 0.125
Sn4 0.632 0.561 0.893
Sn5 0.561 0.632 0.393
Sn6 0.607 0.739 0.668
Sn7 0.439 0.071 0.332
Sn8 0.261 0.393 0.832
In3 0.750 0.625 0.375
Sn9 0.832 0.939 0.071
Sn10 0.632 0.071 0.239
Sn11 0.739 0.607 0.168
Sn12 0.132 0.393 0.061
Sn13 0.868 0.261 0.429
Sn14 0.929 0.561 0.168
Au5 0.125 0.250 0.875
Sn15 0.868 0.607 0.939
Sn16 0.168 0.061 0.929
Sn17 0.107 0.168 0.239
In4 0.250 0.875 0.125
Sn18 0.668 0.239 0.607
Sn19 0.429 0.668 0.061
In5 0.375 0.125 0.750
In6 0.875 0.625 0.750
Sn20 0.832 0.893 0.261
Sn21 0.368 0.929 0.761
In7 0.375 0.250 0.125
In8 0.875 0.250 0.625
In9 0.000 0.000 0.000
In10 0.750 0.125 0.875
Sn22 0.893 0.061 0.632
Sn23 0.368 0.439 0.107
Sn24 0.939 0.832 0.571
In11 0.250 0.375 0.625
Sn25 0.332 0.761 0.393
Au6 0.125 0.875 0.750
In12 0.000 0.000 0.500
Au7 0.750 0.875 0.625
Au8 0.625 0.375 0.750
Sn26 0.061 0.168 0.429
Sn27 0.061 0.893 0.132
Sn28 0.739 0.132 0.071
Sn29 0.239 0.571 0.632
Au9 0.375 0.625 0.250
Au10 0.250 0.125 0.375
Sn30 0.429 0.761 0.868
Sn31 0.393 0.261 0.332
Sn32 0.332 0.571 0.439
In13 0.500 0.000 0.000
Sn33 0.107 0.939 0.368
Sn34 0.939 0.107 0.868
Sn35 0.607 0.868 0.439
In14 0.000 0.500 0.500
Sn36 0.761 0.429 0.368
Sn37 0.071 0.439 0.832
In15 0.500 0.000 0.500
In16 0.625 0.750 0.875
Sn38 0.393 0.132 0.561
Sn39 0.168 0.107 0.739
Au11 0.750 0.375 0.125
Au12 0.625 0.250 0.375
Sn40 0.132 0.739 0.571
Sn41 0.571 0.239 0.132
In17 0.625 0.875 0.250
Sn42 0.261 0.868 0.929
In18 0.125 0.375 0.250
Sn43 0.239 0.668 0.107
Sn44 0.668 0.429 0.561
Sn45 0.071 0.632 0.739
Sn46 0.893 0.832 0.761
In19 0.000 0.500 0.000
Sn47 0.761 0.332 0.893
In20 0.500 0.500 0.000
Sn48 0.571 0.332 0.939

Summary:
VASP energy, eV per atom: -3.48

Record 9
## In4SnAu5 (PBE)

Data for a geometry-optimized In4SnAu5 structure.

Cell lengths 5.760, 7.044, 7.044 Å; angles 80.38, 65.87, 65.87 degrees
Fractional coordinates of all 10 atoms:
In1 0.803 0.795 0.600
Au1 0.299 0.804 0.600
In2 0.198 0.205 0.400
Au2 0.899 0.400 0.804
Sn1 0.003 0.000 0.000
In3 0.403 0.400 0.795
Au3 0.702 0.196 0.400
In4 0.598 0.600 0.205
Au4 0.103 0.600 0.196
Au5 0.503 0.000 0.000

Summary:
Energy above the most stable polymorph in this dataset, kJ/mol of atoms: 0.0

Record 10
## InSn2Au3 (PBE)

Data for a geometry-optimized InSn2Au3 structure.

Cell lengths 4.073, 4.073, 9.069 Å; angles 102.92, 102.92, 90.25 degrees
Fractional coordinates of all 6 atoms:
In1 0.434 0.436 0.874
Au1 0.602 0.603 0.209
Au2 0.934 0.936 0.874
Au3 0.267 0.268 0.539
Sn1 0.099 0.100 0.203
Sn2 0.770 0.771 0.545

Summary:
Energy above the most stable polymorph in this dataset, kJ/mol of atoms: 0.6

Record 11
## In12Sn7Au (PBE)

Data for a geometry-optimized In12Sn7Au structure.

Cell lengths 6.204, 10.500, 10.500 Å; angles 116.22, 101.36, 101.36 degrees
Fractional coordinates of all 20 atoms:
In1 0.955 0.356 0.356
In2 0.401 0.356 0.000
Sn1 0.860 0.252 0.000
Sn2 0.140 0.000 0.748
In3 0.097 0.596 0.193
Au1 0.000 0.000 0.000
In4 0.904 0.807 0.403
Sn3 0.392 0.252 0.252
In5 0.599 0.644 0.000
In6 0.401 0.000 0.356
In7 0.501 0.597 0.404
Sn4 0.500 0.000 0.000
In8 0.499 0.403 0.596
Sn5 0.860 0.000 0.252
Sn6 0.140 0.748 0.000
In9 0.096 0.193 0.597
In10 0.045 0.644 0.644
In11 0.599 0.000 0.644
Sn7 0.608 0.748 0.748
In12 0.903 0.404 0.807

Summary:
VASP energy, eV per atom: -3.14

Record 12
## In3SnAu3 (PBE)

Data for a geometry-optimized In3SnAu3 structure.

Cell lengths 7.525, 7.525, 7.417 Å; angles 94.63, 94.63, 124.03 degrees
Fractional coordinates of all 14 atoms:
Au1 0.868 0.543 0.732
Au2 0.988 0.988 0.688
Sn1 0.758 0.758 0.976
In1 0.803 0.197 0.500
In2 0.741 0.259 0.000
Au3 0.543 0.868 0.732
In3 0.625 0.625 0.363
Au4 0.457 0.132 0.268
In4 0.197 0.803 0.500
Sn2 0.242 0.242 0.024
In5 0.375 0.375 0.637
In6 0.259 0.741 0.000
Au5 0.012 0.012 0.312
Au6 0.132 0.457 0.268

Summary:
Energy above the most stable polymorph in this dataset, kJ/mol of atoms: 1.2

| no. | magnetic moment (μB per formula unit) |
| --- | --- |
| 1 | 0.00 |
| 2 | 0.00 |
| 3 | 0.00 |
| 4 | 0.00 |
| 5 | 0.00 |
| 6 | 0.00 |
| 7 | 0.00 |
| 8 | 0.00 |
| 9 | 0.00 |
| 10 | 0.00 |
| 11 | 0.00 |
| 12 | 0.00 |